Entry from Alexandria via LeMat-Bulk: Y4TaW after structural relaxation (PBE-GGA).

Cell lengths 5.953, 5.953, 5.953 Å; angles 60.00, 60.00, 60.00 degrees
Atoms (fractional coordinates):
1 Y 0.375 0.875 0.375
2 Y 0.375 0.375 0.875
3 Y 0.875 0.375 0.375
4 Y 0.375 0.375 0.375
5 W 0.000 0.000 0.000
6 Ta 0.750 0.750 0.750

Output
Raw total energy = -0.266 Ha/atom
Formation enthalpy at 0 K = 115.0 kJ/mol of atoms
Spin magnetization = 0.00 μB per formula unit

=====

Entry from Alexandria via LeMat-Bulk: YTa2W after structural relaxation (PBE-GGA).

Cell lengths 9.607, 9.607, 9.607 Å; angles 19.01, 19.01, 19.01 degrees
Atoms (fractional coordinates):
1 Y 0.750 0.750 0.750
2 Ta 0.988 0.988 0.988
3 Ta 0.512 0.512 0.512
4 W 0.250 0.250 0.250

Output
Raw total energy = -0.380 Ha/atom
Formation enthalpy at 0 K = 42.0 kJ/mol of atoms
Spin magnetization = 0.00 μB per formula unit

=====

Entry from Alexandria via LeMat-Bulk: YTaW after structural relaxation (PBE-GGA).

Cell lengths 5.118, 5.118, 5.118 Å; angles 147.44, 121.50, 68.57 degrees
Atoms (fractional coordinates):
1 Ta 0.006 0.006 0.000
2 W 0.327 0.327 0.000
3 Y 0.667 0.667 0.000

Output
Raw total energy = -0.361 Ha/atom
Formation enthalpy at 0 K = 57.9 kJ/mol of atoms
Spin magnetization = 0.00 μB per formula unit

=====

Entry from Alexandria via LeMat-Bulk: YTa2W after structural relaxation (PBE-GGA).

Cell lengths 4.827, 4.827, 3.333 Å; angles 90.00, 90.00, 90.00 degrees
Atoms (fractional coordinates):
1 Ta 0.500 0.500 0.000
2 Ta 0.000 0.000 0.000
3 W 0.500 0.000 0.500
4 Y 0.000 0.500 0.500

Output
Raw total energy = -0.378 Ha/atom
Formation enthalpy at 0 K = 47.7 kJ/mol of atoms
Spin magnetization = 0.00 μB per formula unit

=====

Question: What is the formula in the fourth record?
Answer: YTa2W

=====

Question: Number 1 is which compound?
Answer: Y4TaW